DFT (PBE-GGA) results for a relaxed structure of LiAgAs2.

Cell: 4.6994 4.6994 4.6994 Å, 60.00 60.00 60.00°
Atoms (fractional coordinates):
Li 0.0000 0.0000 0.0000
Ag 0.2500 0.2500 0.2500
As 0.5000 0.5000 0.5000
As 0.7500 0.7500 0.7500

Values from the calculation:
SG: F-43m (216)
Crystal system: cubic
Energy in eV per formula unit: -13.95